Entry from the Alexandria database: an optimized crystal structure of HfZr4Sc5 (PBE).

- V (Å³/atom) = 25.22
- energy of formation from the pure elements (eV/atom) = 0.206
- crystal system = monoclinic

Lattice parameters (Å, degrees): 16.6141 4.3374 7.8104 90.00 116.34 90.00
Space group C2/m (No. 12)
Inequivalent atoms, fractional coordinates:
Hf 0.0000 0.0000 0.0000 [2 per cell]
Zr 0.0370 0.5000 0.7867 [4 per cell]
Zr 0.1785 0.0000 0.9330 [4 per cell]
Sc 0.0000 0.0000 0.5000 [2 per cell]
Sc 0.1611 0.5000 0.2123 [4 per cell]
Sc 0.1704 0.5000 0.6197 [4 per cell]